Ac6Ni2Te3Pt PBE optimized geometry; energy relative to the elements, uncorrected = -97 kJ per mole of atoms; calculated total energy = -63.74 eV per cell; total magnetization = 0.00 μB/cell
1.0
-5.327 -5.099 -1.926
2.008 0.838 7.305
-4.607 7.035 -0.863
Te Ac Ni Pt
3 6 2 1
direct
0.835 0.165 0.500
0.165 0.835 0.500
0.500 0.500 0.500
0.408 0.070 0.211
0.930 0.592 0.789
0.267 0.267 0.790
0.070 0.408 0.211
0.733 0.733 0.210
0.592 0.930 0.789
0.333 0.667 0.000
0.667 0.333 0.000
0.000 0.000 0.000



Ac4NiTe2Pt PBE optimized geometry; energy relative to the elements, uncorrected = -106 kJ per mole of atoms; calculated total energy = -43.30 eV per cell; total magnetization = 0.00 μB/cell
1.0
4.407 0.000 0.000
0.000 7.660 0.141
0.000 -2.677 8.024
Te Ac Pt Ni
2 4 1 1
direct
0.500 0.000 0.500
0.000 0.500 0.500
0.000 0.260 0.788
0.500 0.234 0.211
0.500 0.766 0.789
0.000 0.740 0.212
0.500 0.500 0.000
0.000 0.000 0.000



AcThNiPt PBE optimized geometry; DFT formation energy = -0.53 eV/atom; calculated total energy = -25.46 eV per cell; total magnetization = 0.00 μB/cell
1.0
-3.593 0.854 -3.620
1.041 -1.006 -4.964
-2.288 -3.990 -2.365
Ac Ni Th Pt
1 1 1 1
direct
0.500 0.500 0.500
0.250 0.250 0.250
0.000 0.000 0.000
0.750 0.750 0.750